1.
Density functional theory data (PBE) for crystalline LaMgSbOs at its relaxed geometry.

excess energy over the best structure of this formula in the dataset = 0 meV per atom
space group = F-43m, No. 216

a = 4.925 Å, b = 4.925 Å, c = 4.925 Å
α = 60.00°, β = 60.00°, γ = 60.00°
Positions (direct):
La: 0.000 0.000 0.000
Mg: 0.250 0.250 0.250
Sb: 0.500 0.500 0.500
Os: 0.750 0.750 0.750

***

2.
Density functional theory data (PBE) for crystalline LaMgTaOs at its relaxed geometry.

excess energy over the best structure of this formula in the dataset = 85 meV per atom
space group = F-43m, No. 216

a = 4.886 Å, b = 4.886 Å, c = 4.886 Å
α = 60.00°, β = 60.00°, γ = 60.00°
Positions (direct):
La: 0.000 0.000 0.000
Mg: 0.250 0.250 0.250
Ta: 0.500 0.500 0.500
Os: 0.750 0.750 0.750

***

3.
Density functional theory data (PBE) for crystalline LaMgTaOs at its relaxed geometry.

excess energy over the best structure of this formula in the dataset = 0 meV per atom
space group = F-43m, No. 216

a = 4.798 Å, b = 4.798 Å, c = 4.798 Å
α = 60.00°, β = 60.00°, γ = 60.00°
Positions (direct):
La: 0.000 0.000 0.000
Mg: 0.750 0.750 0.750
Ta: 0.250 0.250 0.250
Os: 0.500 0.500 0.500

***

4.
Density functional theory data (PBE) for crystalline LaMgTaOs at its relaxed geometry.

excess energy over the best structure of this formula in the dataset = 306 meV per atom
space group = F-43m, No. 216

a = 4.795 Å, b = 4.795 Å, c = 4.795 Å
α = 60.00°, β = 60.00°, γ = 60.00°
Positions (direct):
La: 0.000 0.000 0.000
Mg: 0.500 0.500 0.500
Ta: 0.750 0.750 0.750
Os: 0.250 0.250 0.250

***

5.
Density functional theory data (PBE) for crystalline LaMgPa at its relaxed geometry.

excess energy over the best structure of this formula in the dataset = 0 meV per atom
space group = F-43m, No. 216

a = 5.154 Å, b = 5.154 Å, c = 5.154 Å
α = 60.00°, β = 60.00°, γ = 60.00°
Positions (direct):
La: 0.000 0.000 0.000
Mg: 0.250 0.250 0.250
Pa: 0.500 0.500 0.500

***

6.
Density functional theory data (PBE) for crystalline LaMgPd at its relaxed geometry.

VASP energy = -13.17 eV/cell
space group = F-43m, No. 216

a = 4.879 Å, b = 4.879 Å, c = 4.879 Å
α = 60.00°, β = 60.00°, γ = 60.00°
Positions (direct):
La: 0.000 0.000 0.000
Mg: 0.500 0.500 0.500
Pd: 0.250 0.250 0.250

***

7.
Density functional theory data (PBE) for crystalline LaMgPd at its relaxed geometry.

VASP energy = -11.25 eV/cell
space group = F-43m, No. 216

a = 4.993 Å, b = 4.993 Å, c = 4.993 Å
α = 60.00°, β = 60.00°, γ = 60.00°
Positions (direct):
La: 0.000 0.000 0.000
Mg: 0.750 0.750 0.750
Pd: 0.250 0.250 0.250

***

8.
Density functional theory data (PBE) for crystalline LaMgPd at its relaxed geometry.

VASP energy = -41.00 eV/cell
space group = P-62m, No. 189

a = 7.744 Å, b = 7.744 Å, c = 4.153 Å
α = 90.00°, β = 90.00°, γ = 120.00°
Positions (direct):
La: 0.000 0.417 0.000
La: 0.417 0.000 0.000
La: 0.583 0.583 0.000
Mg: 0.000 0.764 0.500
Mg: 0.236 0.236 0.500
Mg: 0.764 0.000 0.500
Pd: 0.000 0.000 0.000
Pd: 0.333 0.667 0.500
Pd: 0.667 0.333 0.500